Entry from Alexandria via LeMat-Bulk: CaCo2PbCl after structural relaxation (PBE).

Formation energy from raw total energies = 0.57 eV per atom

The structure in POSCAR format:
```
CaCo2PbCl
1.0
4.889 0.000 0.000
0.000 6.316 0.000
0.000 0.000 4.889
Cl Ca Co Pb
1 1 2 1
Direct
0.500 0.500 0.500 Cl
0.000 0.500 0.000 Ca
0.000 0.000 0.500 Co
0.500 0.000 0.000 Co
0.000 0.000 0.000 Pb
```

=====

Entry from Alexandria via LeMat-Bulk: TlCd3C after structural relaxation (PBE).

E_form = 0.7302 eV per atom

The structure in POSCAR format:
```
TlCd3C
1.0
-1.606 1.526 4.227
-4.361 0.553 -1.857
-1.083 -4.488 1.208
Cd C Tl
3 1 1
Direct
0.000 0.500 0.000 Cd
0.500 0.000 0.000 Cd
0.000 0.000 0.500 Cd
0.000 0.000 0.000 C
0.500 0.500 0.500 Tl
```

=====

Entry from Alexandria via LeMat-Bulk: Be2PtSe after structural relaxation (PBE).

Formation energy from raw total energies = -0.44 eV per atom

The structure in POSCAR format:
```
Be2PtSe
1.0
-2.769 0.504 -2.162
-1.359 -3.014 1.037
-1.824 3.919 3.251
Pt Se Be
1 1 2
Direct
0.000 0.512 0.402 Pt
0.500 0.735 0.843 Se
0.500 0.377 0.129 Be
0.000 0.875 0.126 Be
```

=====

no.,total magnetic moment (μB/f.u.)
1,4.16
2,0.00
3,0.00